# 1
Here is K2GaGeS4 after structural relaxation from Alexandria via LeMat-Bulk. Energies are from PBE.

a = 6.0502 Å, b = 7.5139 Å, c = 11.5672 Å
α = 83.96°, β = 74.84°, γ = 66.26°
Sites, in units of the cell vectors:
K (0.1808, 0.0000, 0.6383)
K (0.8192, 0.0000, 0.3617)
K (0.5692, 0.5000, 0.8617)
K (0.9308, 0.5000, 0.1383)
Ga (0.7500, 0.5000, 0.5000)
Ga (0.0000, 0.0000, 0.0000)
Ge (0.2500, 0.5000, 0.5000)
Ge (0.5000, 0.0000, 0.0000)
S (0.2764, 0.8071, 0.1098)
S (0.1933, 0.1929, 0.8902)
S (0.9165, 0.8071, 0.8902)
S (0.6139, 0.1929, 0.1098)
S (0.4736, 0.6929, 0.3902)
S (0.5567, 0.3071, 0.6098)
S (0.8335, 0.6929, 0.6098)
S (0.1361, 0.3071, 0.3902)

Calculated values
DOS at the Fermi energy = 10.4 states/eV/cell
space-group type = Fddd, No. 70
DFT total energy = -4.0716 eV/atom
E_form (uncorrected) = -600 kJ/mol of formula units
V = 464.6 Å³ per cell


# 2
Here is KGaGe2S6 after structural relaxation from Alexandria via LeMat-Bulk. Energies are from PBE.

a = 6.8784 Å, b = 9.5614 Å, c = 9.5614 Å
α = 82.59°, β = 64.91°, γ = 64.91°
Sites, in units of the cell vectors:
K (0.2500, 0.6727, 0.3273)
K (0.7500, 0.3273, 0.6727)
Ga (0.2500, 0.1844, 0.8156)
Ga (0.7500, 0.8156, 0.1844)
Ge (0.3905, 0.8128, 0.6388)
Ge (0.1095, 0.3612, 0.1872)
Ge (0.6095, 0.1872, 0.3612)
Ge (0.8905, 0.6388, 0.8128)
S (0.1154, 0.9950, 0.8218)
S (0.3846, 0.1782, 0.0050)
S (0.8846, 0.0050, 0.1782)
S (0.6154, 0.8218, 0.9950)
S (0.4022, 0.8946, 0.4055)
S (0.0978, 0.5945, 0.1054)
S (0.5978, 0.1054, 0.5945)
S (0.9022, 0.4055, 0.8946)
S (0.2690, 0.6106, 0.6779)
S (0.2310, 0.3221, 0.3894)
S (0.7310, 0.3894, 0.3221)
S (0.7690, 0.6779, 0.6106)

Calculated values
space-group type = C2/c, No. 15
DFT total energy = -4.3602 eV/atom
E_form (uncorrected) = -529 kJ/mol of formula units
V = 514.8 Å³ per cell


# 3
Here is K2ScGaGe after structural relaxation from Alexandria via LeMat-Bulk. Energies are from PBE.

a = 6.5140 Å, b = 4.8972 Å, c = 6.5140 Å
α = 90.00°, β = 90.00°, γ = 90.00°
Last column: magnetic moment on the atom in μB.
Sites, in units of the cell vectors:
Sc (0.5000, 0.5000, 0.5000)  0.87
Ge (0.0000, 0.0000, 0.0000)  -0.06
K (0.0000, 0.0000, 0.5000)  0.00
K (0.5000, 0.0000, 0.0000)  0.00
Ga (0.0000, 0.5000, 0.0000)  0.01

Calculated values
DOS at the Fermi energy = 5.9 states/eV/cell
space-group type = P4/mmm, No. 123
ΔE_f = 14.269 kcal/mol of atoms
DFT total energy = -2.6154 eV/atom
V = 207.8 Å³ per cell


# 4
Here is KGaGe2Se6 after structural relaxation from Alexandria via LeMat-Bulk. Energies are from PBE.

a = 7.2991 Å, b = 9.9567 Å, c = 9.9567 Å
α = 81.66°, β = 64.83°, γ = 64.83°
Sites, in units of the cell vectors:
K (0.2500, 0.6836, 0.3164)
K (0.7500, 0.3164, 0.6836)
Ga (0.2500, 0.1765, 0.8235)
Ga (0.7500, 0.8235, 0.1765)
Ge (0.3962, 0.8052, 0.6326)
Ge (0.1038, 0.3674, 0.1948)
Ge (0.6038, 0.1948, 0.3674)
Ge (0.8962, 0.6326, 0.8052)
Se (0.1168, 0.9811, 0.8313)
Se (0.3832, 0.1687, 0.0189)
Se (0.8832, 0.0189, 0.1687)
Se (0.6168, 0.8313, 0.9811)
Se (0.3988, 0.9064, 0.3975)
Se (0.1012, 0.6025, 0.0936)
Se (0.6012, 0.0936, 0.6025)
Se (0.8988, 0.3975, 0.9064)
Se (0.2794, 0.5965, 0.6637)
Se (0.2206, 0.3363, 0.4035)
Se (0.7206, 0.4035, 0.3363)
Se (0.7794, 0.6637, 0.5965)

Calculated values
space-group type = C2/c, No. 15
DFT total energy = -3.9114 eV/atom
E_form (uncorrected) = -468 kJ/mol of formula units
V = 592.1 Å³ per cell


# 5
Here is K2Ga4SnGe3 after structural relaxation from Alexandria via LeMat-Bulk. Energies are from PBE.

a = 4.7492 Å, b = 4.7492 Å, c = 10.6443 Å
α = 90.00°, β = 90.00°, γ = 90.00°
Sites, in units of the cell vectors:
K (0.5000, 0.0000, 0.2432)
K (0.0000, 0.5000, 0.7568)
Ga (0.5000, 0.5000, 0.0000)
Ga (0.0000, 0.0000, 0.0000)
Ga (0.5000, 0.0000, 0.6371)
Ga (0.0000, 0.5000, 0.3629)
Sn (0.5000, 0.5000, 0.5000)
Ge (0.0000, 0.0000, 0.5000)
Ge (0.5000, 0.0000, 0.8787)
Ge (0.0000, 0.5000, 0.1213)

Calculated values
DOS at the Fermi energy = 3.3 states/eV/cell
space-group type = P-4m2, No. 115
ΔE_f = -3.006 kcal/mol of atoms
DFT total energy = -3.3461 eV/atom
V = 240.1 Å³ per cell


# 6
Here is K2SrGaGe2 after structural relaxation from Alexandria via LeMat-Bulk. Energies are from PBE.

a = 4.2076 Å, b = 9.3665 Å, c = 9.5500 Å
α = 90.00°, β = 90.00°, γ = 90.00°
Sites, in units of the cell vectors:
K (0.5000, 0.0357, 0.0945)
K (0.0000, 0.3692, 0.1708)
K (0.5000, 0.5357, 0.9055)
K (0.0000, 0.8692, 0.8292)
Sr (0.0000, 0.9709, 0.4632)
Sr (0.0000, 0.4709, 0.5368)
Ga (0.5000, 0.2069, 0.6789)
Ga (0.5000, 0.7069, 0.3211)
Ge (0.0000, 0.2332, 0.8250)
Ge (0.5000, 0.2297, 0.4143)
Ge (0.0000, 0.7332, 0.1750)
Ge (0.5000, 0.7297, 0.5857)

Calculated values
DOS at the Fermi energy = 6.5 states/eV/cell
space-group type = Pmc2_1, No. 26
ΔE_f = -5.615 kcal/mol of atoms
DFT total energy = -2.9332 eV/atom
V = 376.4 Å³ per cell


# 7
Here is KSrGa2Ge after structural relaxation from Alexandria via LeMat-Bulk. Energies are from PBE.

a = 5.9849 Å, b = 5.8028 Å, c = 5.9849 Å
α = 90.00°, β = 90.00°, γ = 90.00°
Sites, in units of the cell vectors:
Sr (0.0000, 0.0000, 0.0000)
Ge (0.0000, 0.5000, 0.0000)
K (0.5000, 0.5000, 0.5000)
Ga (0.0000, 0.0000, 0.5000)
Ga (0.5000, 0.0000, 0.0000)

Calculated values
DOS at the Fermi energy = 4.1 states/eV/cell
space-group type = P4/mmm, No. 123
ΔE_f = 12.490 kcal/mol of atoms
DFT total energy = -2.1485 eV/atom
V = 207.8 Å³ per cell


# 8
Here is KGaTcGe2 after structural relaxation from Alexandria via LeMat-Bulk. Energies are from PBE.

a = 4.8872 Å, b = 4.8872 Å, c = 4.9265 Å
α = 90.00°, β = 90.00°, γ = 90.00°
Sites, in units of the cell vectors:
K (0.5000, 0.5000, 0.5000)
Ge (0.0000, 0.5000, 0.0000)
Ge (0.5000, 0.0000, 0.0000)
Tc (0.0000, 0.0000, 0.0000)
Ga (0.0000, 0.0000, 0.5000)

Calculated values
DOS at the Fermi energy = 2.5 states/eV/cell
space-group type = P4/mmm, No. 123
ΔE_f = -1.080 kcal/mol of atoms
DFT total energy = -4.7919 eV/atom
V = 117.7 Å³ per cell


# 9
Here is KGa2TcGe after structural relaxation from Alexandria via LeMat-Bulk. Energies are from PBE.

a = 4.9424 Å, b = 4.9424 Å, c = 4.8232 Å
α = 90.00°, β = 90.00°, γ = 90.00°
Sites, in units of the cell vectors:
K (0.5000, 0.5000, 0.5000)
Ge (0.0000, 0.0000, 0.5000)
Tc (0.0000, 0.0000, 0.0000)
Ga (0.0000, 0.5000, 0.0000)
Ga (0.5000, 0.0000, 0.0000)

Calculated values
DOS at the Fermi energy = 0.7 states/eV/cell
space-group type = P4/mmm, No. 123
ΔE_f = -4.233 kcal/mol of atoms
DFT total energy = -4.6105 eV/atom
V = 117.8 Å³ per cell


# 10
Here is K2GaGeTe4 after structural relaxation from Alexandria via LeMat-Bulk. Energies are from PBE.

a = 6.7657 Å, b = 8.2886 Å, c = 12.7023 Å
α = 83.76°, β = 74.55°, γ = 65.91°
Sites, in units of the cell vectors:
K (0.1847, 0.0000, 0.6307)
K (0.8153, 0.0000, 0.3693)
K (0.5653, 0.5000, 0.8693)
K (0.9347, 0.5000, 0.1307)
Ga (0.7500, 0.5000, 0.5000)
Ga (0.0000, 0.0000, 0.0000)
Ge (0.2500, 0.5000, 0.5000)
Ge (0.5000, 0.0000, 0.0000)
Te (0.2808, 0.7970, 0.1188)
Te (0.1966, 0.2030, 0.8812)
Te (0.9222, 0.7970, 0.8812)
Te (0.6004, 0.2030, 0.1188)
Te (0.4692, 0.7030, 0.3812)
Te (0.5534, 0.2970, 0.6188)
Te (0.8278, 0.7030, 0.6188)
Te (0.1496, 0.2970, 0.3812)

Calculated values
DOS at the Fermi energy = 8.8 states/eV/cell
space-group type = Fddd, No. 70
DFT total energy = -3.3343 eV/atom
E_form (uncorrected) = -412 kJ/mol of formula units
V = 626.8 Å³ per cell


# 11
Here is KGa2GeW after structural relaxation from Alexandria via LeMat-Bulk. Energies are from PBE.

a = 5.0224 Å, b = 5.1812 Å, c = 5.0224 Å
α = 90.00°, β = 90.00°, γ = 90.00°
Sites, in units of the cell vectors:
K (0.0000, 0.0000, 0.0000)
Ge (0.0000, 0.5000, 0.0000)
Ga (0.0000, 0.0000, 0.5000)
Ga (0.5000, 0.0000, 0.0000)
W (0.5000, 0.5000, 0.5000)

Calculated values
DOS at the Fermi energy = 11.0 states/eV/cell
space-group type = P4/mmm, No. 123
ΔE_f = 55.178 kcal/mol of atoms
DFT total energy = -2.5516 eV/atom
V = 130.7 Å³ per cell


# 12
Here is KZnGaGe2 after structural relaxation from Alexandria via LeMat-Bulk. Energies are from PBE.

a = 4.5568 Å, b = 4.5568 Å, c = 6.2246 Å
α = 111.47°, β = 111.47°, γ = 90.00°
Sites, in units of the cell vectors:
K (0.0000, 0.0000, 0.0000)
Zn (0.7500, 0.2500, 0.5000)
Ga (0.2500, 0.7500, 0.5000)
Ge (0.6206, 0.6206, 0.2411)
Ge (0.3794, 0.3794, 0.7589)

Calculated values
energy relative to the lowest polymorph listed for this composition = 0.000 eV/atom
DOS at the Fermi energy = 0.8 states/eV/cell
space-group type = I-4m2, No. 119
ΔE_f = -2.648 kcal/mol of atoms
DFT total energy = -3.0414 eV/atom
V = 110.6 Å³ per cell


# 13
Here is K2Zn3GaGe4 after structural relaxation from Alexandria via LeMat-Bulk. Energies are from PBE.

a = 4.3879 Å, b = 4.3879 Å, c = 11.1969 Å
α = 90.00°, β = 90.00°, γ = 90.00°
Sites, in units of the cell vectors:
K (0.5000, 0.0000, 0.2515)
K (0.0000, 0.5000, 0.7485)
Zn (0.0000, 0.0000, 0.5000)
Zn (0.5000, 0.0000, 0.8634)
Zn (0.0000, 0.5000, 0.1366)
Ga (0.5000, 0.5000, 0.5000)
Ge (0.5000, 0.5000, 0.0000)
Ge (0.0000, 0.0000, 0.0000)
Ge (0.5000, 0.0000, 0.6331)
Ge (0.0000, 0.5000, 0.3669)

Calculated values
DOS at the Fermi energy = 3.1 states/eV/cell
space-group type = P-4m2, No. 115
ΔE_f = -2.026 kcal/mol of atoms
DFT total energy = -2.8392 eV/atom
V = 215.6 Å³ per cell